[1]
Nb2Br8Cl: relaxed, GGA-PBE.

POSCAR file:
```
Nb2Br8Cl
1.0
4.483 -6.211 0.000
4.483 6.211 0.000
-0.308 0.000 8.176
Nb Br Cl
2 8 1
Cartesian
0.930 0.000 2.322
7.729 0.000 5.854
3.623 3.757 5.902
1.469 0.000 4.838
5.036 3.757 2.274
3.298 0.000 1.697
5.361 0.000 6.479
3.623 -3.757 5.902
7.190 0.000 3.339
5.036 -3.757 2.274
0.000 0.000 0.000
```

=====

[2]
OsSe2NF: relaxed, GGA-PBE.

POSCAR file:
```
OsSe2NF
1.0
5.018 0.000 0.000
0.000 5.018 0.000
0.000 0.000 3.664
Os Se N F
1 2 1 1
Cartesian
0.000 0.000 0.000
0.000 2.509 0.000
2.509 0.000 0.000
0.000 0.000 1.832
2.509 2.509 1.832
```

=====

[3]
Li7Mg3Ag | Alexandria | GGA-PBE | relaxed; formation energy from the elements = -0.01 eV per atom
1.0
1.500 -10.259 0.000
1.500 10.259 0.000
0.000 0.000 14.042
Li Mg Ag
14 6 2
Cartesian
1.500 10.156 8.313
1.500 10.156 12.750
1.500 8.439 3.511
1.500 7.598 9.202
1.500 7.598 11.862
1.500 5.325 8.095
1.500 5.325 12.968
1.500 -5.325 1.074
1.500 -5.325 5.947
1.500 -7.598 2.180
1.500 -7.598 4.841
1.500 -8.439 10.532
1.500 -10.156 1.292
1.500 -10.156 5.729
1.500 5.501 3.511
1.500 2.518 7.676
1.500 2.518 13.388
1.500 -2.518 0.655
1.500 -2.518 6.367
1.500 -5.501 10.532
1.500 0.648 3.511
1.500 -0.648 10.532

=====

[4]
YHoScRu | Alexandria | GGA-PBE | relaxed; formation energy from the elements = -0.03 eV per atom
1.0
7.139 0.000 0.000
0.000 7.139 0.000
0.000 0.000 7.139
Y Ho Sc Ru
4 4 4 4
Cartesian
0.000 0.000 0.000
0.000 3.570 3.570
3.570 0.000 3.570
3.570 3.570 0.000
0.000 0.000 3.570
0.000 3.570 0.000
3.570 0.000 0.000
3.570 3.570 3.570
1.785 1.785 1.785
1.785 5.354 5.354
5.354 1.785 5.354
5.354 5.354 1.785
1.785 1.785 5.354
1.785 5.354 1.785
5.354 1.785 1.785
5.354 5.354 5.354

=====

[5]
Zr2RhF: relaxed, GGA-PBE.

POSCAR file:
```
Zr2RhF
1.0
6.500 0.000 0.000
0.000 6.500 0.000
0.000 0.000 6.500
Zr Rh F
8 4 4
Cartesian
1.625 1.625 1.625
1.625 1.625 4.875
1.625 4.875 1.625
1.625 4.875 4.875
4.875 1.625 1.625
4.875 1.625 4.875
4.875 4.875 1.625
4.875 4.875 4.875
0.000 0.000 0.000
0.000 3.250 3.250
3.250 0.000 3.250
3.250 3.250 0.000
0.000 0.000 3.250
0.000 3.250 0.000
3.250 0.000 0.000
3.250 3.250 3.250
```

=====

[6]
LaAs3Rh3 | Alexandria | GGA-PBE | relaxed; formation energy from the elements = -0.51 eV per atom
1.0
6.721 0.000 0.000
0.000 6.721 0.000
0.000 0.000 6.721
La As Rh
2 6 6
Cartesian
0.000 0.000 0.000
3.360 3.360 3.360
0.000 1.680 3.360
0.000 5.041 3.360
1.680 3.360 0.000
3.360 0.000 1.680
3.360 0.000 5.041
5.041 3.360 0.000
0.000 3.360 1.680
0.000 3.360 5.041
1.680 0.000 3.360
3.360 1.680 0.000
3.360 5.041 0.000
5.041 0.000 3.360

=====

[7]
TlSF2: relaxed, GGA-PBE.

POSCAR file:
```
TlSF2
1.0
6.370 0.000 0.000
0.000 6.370 0.000
0.000 0.000 11.301
Tl S F
4 4 8
Cartesian
0.000 0.000 0.000
0.000 3.185 2.825
3.185 0.000 8.476
3.185 3.185 5.650
0.000 0.000 5.650
0.000 3.185 8.476
3.185 0.000 2.825
3.185 3.185 0.000
0.766 1.593 1.413
1.593 3.951 4.238
1.593 5.604 9.888
2.419 1.593 7.063
3.951 4.778 7.063
4.778 0.766 9.888
4.778 2.419 4.238
5.604 4.778 1.413
```

=====

[8]
Na5B7C3 | Alexandria | GGA-PBE | relaxed; formation energy from the elements = 0.12 eV per atom
1.0
1.422 -12.818 0.000
1.422 12.818 0.000
0.000 0.000 8.534
Na B C
10 14 6
Cartesian
0.000 0.000 0.000
0.000 0.000 4.267
1.422 7.682 4.272
1.422 7.682 8.528
1.422 2.576 0.001
1.422 2.576 4.266
1.422 -2.576 8.532
1.422 -2.576 4.268
1.422 -7.682 0.006
1.422 -7.682 4.261
1.422 11.181 6.400
1.422 11.042 2.133
1.422 9.403 6.400
1.422 9.249 2.133
1.422 5.982 6.400
1.422 4.436 2.133
1.422 0.772 6.400
1.422 -0.772 2.133
1.422 -4.436 6.400
1.422 -5.982 2.133
1.422 -9.249 6.400
1.422 -9.403 2.133
1.422 -11.042 6.400
1.422 -11.181 2.133
1.422 6.036 2.133
1.422 4.351 6.400
1.422 0.839 2.133
1.422 -0.839 6.400
1.422 -4.351 2.133
1.422 -6.036 6.400

=====

[9]
InCoRu2 | Alexandria | GGA-PBE | relaxed; formation energy from the elements = 0.26 eV per atom
1.0
2.996 0.000 0.000
0.000 2.996 0.000
0.000 0.000 6.585
In Co Ru
1 1 2
Cartesian
0.000 0.000 0.000
0.000 0.000 3.292
1.498 1.498 1.900
1.498 1.498 4.685

=====

[10]
Ce2ThPb3 | Alexandria | GGA-PBE | relaxed; formation energy from the elements = -0.36 eV per atom
1.0
3.611 0.000 0.000
0.000 3.611 0.000
0.000 0.000 13.758
Ce Th Pb
2 1 3
Cartesian
0.000 0.000 2.280
0.000 0.000 11.477
0.000 0.000 6.879
1.805 1.805 0.000
1.805 1.805 4.564
1.805 1.805 9.194

=====

[11]
TlAgHg2 | Alexandria | GGA-PBE | relaxed; formation energy from the elements = 0.07 eV per atom
1.0
3.337 0.000 0.000
-0.676 5.626 0.000
-1.595 -2.104 5.312
Tl Ag Hg
1 1 2
Cartesian
0.000 0.000 0.000
1.331 2.813 0.000
-0.376 3.116 2.398
1.442 0.406 2.915

=====

[12]
BaS2O: relaxed, GGA-PBE.

POSCAR file:
```
BaS2O
1.0
5.063 0.000 0.000
-2.532 4.385 0.000
0.000 0.000 18.007
Ba S O
3 6 3
Cartesian
0.000 0.000 0.000
0.000 2.923 12.004
2.532 1.462 6.002
0.000 0.000 7.335
0.000 0.000 10.671
0.000 2.923 1.333
0.000 2.923 4.669
2.532 1.462 13.338
2.532 1.462 16.673
0.000 0.000 9.003
0.000 2.923 3.001
2.532 1.462 15.005
```

=====

| no. | mass density (kg/m³) | uncorrected energy (eV/atom) |
| --- | --- | --- |
| 1 | 3138 | -4.0757 |
| 2 | 6860 | -5.3022 |
| 3 | 1763 | -1.9265 |
| 4 | 7299 | -6.6925 |
| 5 | 7360 | -7.5040 |
| 6 | 7356 | -6.3599 |
| 7 | 3975 | -3.0820 |
| 8 | 2419 | -5.2775 |
| 9 | 10564 | -6.8414 |
| 10 | 10496 | -5.4322 |
| 11 | 11877 | -1.3835 |
| 12 | 2710 | -4.4084 |